(1)
VASP calculation (meta-GGA SCAN) on Hg3OsI at its PBEsol-relaxed geometry.

Geometry as extended XYZ:
```
5
Lattice="5.238 0.000 0.000 0.000 5.238 0.000 0.000 0.000 5.238" Properties=species:S:1:pos:R:3 pbc="T T T"
Hg 0.000 0.000 2.619
Hg 0.000 2.619 0.000
Hg 2.619 0.000 0.000
Os 0.000 0.000 0.000
I 2.619 2.619 2.619
```

Results
Formation energy from raw total energies = 684.3 meV per atom

=====

(2)
VASP calculation (meta-GGA SCAN) on HgOs2I at its PBEsol-relaxed geometry.

Geometry as extended XYZ:
```
4
Lattice="0.000 3.258 3.258 3.258 0.000 3.258 3.258 3.258 0.000" Properties=species:S:1:pos:R:3 pbc="T T T"
Hg 0.000 0.000 0.000
Os 1.629 1.629 1.629
Os 4.887 4.887 4.887
I 3.258 3.258 3.258
```

Results
Formation energy from raw total energies = 1655.8 meV per atom

=====

(3)
VASP calculation (meta-GGA SCAN) on Hg2PI at its PBEsol-relaxed geometry.

Geometry as extended XYZ:
```
8
Lattice="-3.149 3.149 6.342 3.149 -3.149 6.342 3.149 3.149 -6.342" Properties=species:S:1:pos:R:3 pbc="T T T"
Hg 4.724 0.947 -1.585
Hg 0.947 1.575 1.585
Hg -1.575 2.202 4.756
Hg 2.202 1.575 7.927
P 0.000 0.000 0.000
P 0.000 3.149 3.171
I 3.149 0.000 3.171
I 0.000 0.000 6.342
```

Results
Formation energy from raw total energies = -103.5 meV per atom

=====

Values for magnetization, μB per cell, ordered as above
2.23 0.00 0.00
Values for final energy, eV per atom, ordered as above
-61.940 -60.511 -45.972